Cd2CuAu | PBEsol | relaxed

Summary:
calculated density	11.90	g cm⁻³
D(E_F)	1.13	states/eV/cell
space-group type	Imm2, No. 44
energy of formation	-0.06	eV per atom

Cell and atoms, written as CIF:
```
data_Cd2CuAu
_symmetry_space_group_name_H-M 'P 1'
_symmetry_Int_Tables_number 1
_symmetry_space_group_name_Hall 'P 1'
_cell_length_a 5.095
_cell_length_b 5.095
_cell_length_c 5.095
_cell_angle_alpha 136.52
_cell_angle_beta 130.84
_cell_angle_gamma 67.70
loop_
_atom_site_label
_atom_site_fract_x
_atom_site_fract_y
_atom_site_fract_z
_atom_site_occupancy
Cd1 0.000 0.000 0.000 1
Cd2 0.735 0.235 0.500 1
Cu1 0.244 0.744 0.500 1
Au1 0.474 0.474 0.000 1
```

=====

CdCuAu2 | PBEsol | relaxed

Summary:
calculated density	14.54	g cm⁻³
D(E_F)	1.28	states/eV/cell
space-group type	Cmmm, No. 65
energy of formation	-0.06	eV per atom

Cell and atoms, written as CIF:
```
data_CdCuAu2
_symmetry_space_group_name_H-M 'P 1'
_symmetry_Int_Tables_number 1
_symmetry_space_group_name_Hall 'P 1'
_cell_length_a 4.771
_cell_length_b 4.771
_cell_length_c 2.989
_cell_angle_alpha 90.00
_cell_angle_beta 90.00
_cell_angle_gamma 106.90
loop_
_atom_site_label
_atom_site_fract_x
_atom_site_fract_y
_atom_site_fract_z
_atom_site_occupancy
Cd1 0.000 0.000 0.000 1
Cu1 0.500 0.500 0.000 1
Au1 0.000 0.500 0.500 1
Au2 0.500 0.000 0.500 1
```

=====

CdCuAu2 | PBEsol | relaxed

Summary:
calculated density	14.60	g cm⁻³
D(E_F)	1.25	states/eV/cell
space-group type	I4/mmm, No. 139
energy of formation	-0.08	eV per atom

Cell and atoms, written as CIF:
```
data_CdCuAu2
_symmetry_space_group_name_H-M 'P 1'
_symmetry_Int_Tables_number 1
_symmetry_space_group_name_Hall 'P 1'
_cell_length_a 4.833
_cell_length_b 4.833
_cell_length_c 4.833
_cell_angle_alpha 129.90
_cell_angle_beta 129.90
_cell_angle_gamma 73.57
loop_
_atom_site_label
_atom_site_fract_x
_atom_site_fract_y
_atom_site_fract_z
_atom_site_occupancy
Cd1 0.000 0.000 0.000 1
Cu1 0.500 0.500 0.000 1
Au1 0.250 0.750 0.500 1
Au2 0.750 0.250 0.500 1
```